No. 1
Rb5Hg12Pb2 | PBE-GGA | relaxed

ΔE_f: -0.17 eV per atom
symmetry: C2/m (12)

The structure in POSCAR format:
```
Rb5Hg12Pb2
1.0
6.9640 -2.4803 -7.8456
7.2821 5.5691 -5.6708
6.8301 -1.5144 4.6060
Hg Rb Pb
12 5 2
direct
0.1056 0.1056 0.9945
0.8944 0.8944 0.0055
0.9407 0.3585 0.2759
0.2108 0.5815 0.3484
0.0593 0.6415 0.7241
0.3585 0.9407 0.2759
0.5815 0.2108 0.3484
0.7892 0.4185 0.6516
0.4185 0.7892 0.6516
0.4524 0.4524 0.6820
0.5476 0.5476 0.3180
0.6415 0.0593 0.7241
0.3050 0.3050 0.0509
0.0000 0.0000 0.5000
0.6950 0.6950 0.9491
0.2320 0.2320 0.5934
0.7680 0.7680 0.4066
0.3064 0.6936 0.0000
0.6936 0.3064 0.0000
```

No. 2
Y6Mg3Zn | PBE-GGA | relaxed

ΔE_f: -0.09 eV per atom
symmetry: P2_1/m (11)

The structure in POSCAR format:
```
Y6Mg3Zn
1.0
-2.1713 4.4097 2.2007
0.0916 -4.0819 8.2695
10.1365 5.7513 -1.5229
Y Mg Zn
12 6 2
direct
0.7500 0.7666 0.5052
0.2500 0.0873 0.8628
0.2500 0.6691 0.6720
0.7500 0.5361 0.9138
0.2500 0.1420 0.1643
0.2500 0.2334 0.4948
0.7500 0.8580 0.8357
0.7500 0.3309 0.3280
0.7500 0.1489 0.6865
0.2500 0.8511 0.3135
0.7500 0.9127 0.1372
0.2500 0.4639 0.0862
0.2500 0.5318 0.3794
0.7500 0.4682 0.6206
0.2500 0.3911 0.7817
0.7500 0.2305 0.0223
0.2500 0.7695 0.9777
0.7500 0.6089 0.2183
0.2500 0.9545 0.5919
0.7500 0.0455 0.4081
```

No. 3
ScSiF2 | PBE-GGA | relaxed

symmetry: Fm-3m (225)
energy relative to the elements, uncorrected: -1242 meV/atom

The structure in POSCAR format:
```
ScSiF2
1.0
-0.6037 -3.6785 -2.1117
-1.5627 -3.4186 2.0558
-3.9750 -1.3664 -0.8294
Sc F Si
1 2 1
direct
0.5000 0.5000 0.5000
0.7500 0.7500 0.7500
0.2500 0.2500 0.2500
0.0000 0.0000 0.0000
```

| no. | total magnetization (μB/f.u.) |
| --- | --- |
| 1 | 0.00 |
| 2 | 0.31 |
| 3 | 0.00 |